Computed, not measured: an optimized crystal structure of Mg3TlIn3 at the PBE level of DFT.

abc: 5.934 5.934 5.934
angles: 105.22 105.22 105.22
Atoms (fractional coordinates):
Mg: 0.531 0.987 0.987
Mg: 0.987 0.987 0.531
Mg: 0.987 0.531 0.987
Tl: 0.063 0.063 0.063
In: 0.535 0.535 0.161
In: 0.535 0.161 0.535
In: 0.161 0.535 0.535

## Properties
The calculation puts the formation enthalpy at 0 K at 0.02 eV/atom. The density is 5680 kg/m3. As for the energy above the most stable polymorph in this dataset: 63.1 meV per atom. The space group is R3m (160). The volume comes out at 181.8 Å³/cell.

---

Computed, not measured: an optimized crystal structure of La3Y2 at the PBE level of DFT.

abc: 3.675 15.086 3.675
angles: 97.00 60.00 97.00
Atoms (fractional coordinates):
La: 0.999 0.997 0.999
La: 0.401 0.203 0.401
La: 0.200 0.600 0.200
Y: 0.801 0.403 0.801
Y: 0.599 0.797 0.599

## Properties
The calculation puts the formation enthalpy at 0 K at 0.01 eV/atom. The density is 5650 kg/m3. As for the energy above the most stable polymorph in this dataset: 0.0 meV per atom. The space group is R-3m (166). The volume comes out at 174.7 Å³/cell.

---

Computed, not measured: an optimized crystal structure of Fe3S at the PBE level of DFT.

abc: 4.984 5.371 7.050
angles: 90.00 90.00 90.00
Site moments in Bohr magnetons follow the coordinates.
Atoms (fractional coordinates):
Fe: 0.264 0.909 0.052  2.40
Fe: 0.764 0.591 0.448  2.40
Fe: 0.736 0.091 0.552  2.40
Fe: 0.236 0.409 0.948  2.40
Fe: 0.736 0.091 0.948  2.40
Fe: 0.236 0.409 0.552  2.40
Fe: 0.264 0.909 0.448  2.40
Fe: 0.764 0.591 0.052  2.40
Fe: 0.472 0.290 0.250  2.12
Fe: 0.972 0.210 0.250  2.12
Fe: 0.528 0.710 0.750  2.12
Fe: 0.028 0.790 0.750  2.12
S: 0.662 0.917 0.250  0.01
S: 0.162 0.583 0.250  0.01
S: 0.338 0.083 0.750  0.01
S: 0.838 0.417 0.750  0.01

## Properties
The density is 7025 kg/m3. The value obtained for the total DFT energy (no corrections) is -119.60 eV/cell. The space group is Pnma (62). The volume comes out at 188.7 Å³/cell.

---

Computed, not measured: an optimized crystal structure of Dy2MoC at the PBE level of DFT.

abc: 3.348 3.348 8.795
angles: 79.03 79.03 60.00
Site moments in Bohr magnetons follow the coordinates.
Atoms (fractional coordinates):
Mo: 0.000 0.000 0.000  0.46
C: 0.500 0.500 0.500  0.01
Dy: 0.113 0.113 0.662  0.02
Dy: 0.887 0.887 0.338  0.02

## Properties
The calculation puts the formation enthalpy at 0 K at 0.59 eV/atom. The density is 8632 kg/m3. The space group is R-3m (166). The volume comes out at 83.3 Å³/cell.

---

Computed, not measured: an optimized crystal structure of YNpRh4 at the PBE level of DFT.

abc: 5.331 5.331 5.331
angles: 60.00 60.00 60.00
Site moments in Bohr magnetons follow the coordinates.
Atoms (fractional coordinates):
Np: 0.250 0.250 0.250  3.67
Y: 0.000 0.000 0.000  0.13
Rh: 0.625 0.625 0.125  -0.16
Rh: 0.625 0.125 0.625  -0.16
Rh: 0.625 0.625 0.625  -0.16
Rh: 0.125 0.625 0.625  -0.16

## Properties
The calculation puts the formation enthalpy at 0 K at -0.50 eV/atom. The density is 11434 kg/m3. The space group is F-43m (216). The volume comes out at 107.1 Å³/cell.

---

Computed, not measured: an optimized crystal structure of Cd4CuBr at the PBE level of DFT.

abc: 5.914 5.914 5.914
angles: 60.00 60.00 60.00
Atoms (fractional coordinates):
Cd: 0.872 0.376 0.376
Cd: 0.376 0.376 0.872
Cd: 0.376 0.872 0.376
Cd: 0.376 0.376 0.376
Cu: 0.750 0.750 0.750
Br: 0.000 0.000 0.000

## Properties
The density is 6734 kg/m3. The value obtained for the total DFT energy (no corrections) is -7.80 eV/cell. The space group is F-43m (216). The volume comes out at 146.3 Å³/cell.

---

Computed, not measured: an optimized crystal structure of BaAc2B2O6 at the PBE level of DFT.

abc: 5.193 5.193 9.582
angles: 90.00 90.00 120.00
Atoms (fractional coordinates):
Ba: 0.000 0.000 0.000
Ac: 0.333 0.667 0.289
Ac: 0.667 0.333 0.711
B: 0.333 0.667 0.771
B: 0.667 0.333 0.229
O: 0.180 0.360 0.768
O: 0.180 0.820 0.768
O: 0.640 0.820 0.768
O: 0.820 0.640 0.232
O: 0.820 0.180 0.232
O: 0.360 0.180 0.232

## Properties
The density is 5260 kg/m3. The value obtained for the total DFT energy (no corrections) is -82.18 eV/cell. The space group is P-3m1 (164). The volume comes out at 223.8 Å³/cell.

---

Computed, not measured: an optimized crystal structure of Er2LuCu at the PBE level of DFT.

abc: 3.439 3.439 8.557
angles: 90.00 90.00 90.00
Atoms (fractional coordinates):
Lu: 0.500 0.500 0.500
Cu: 0.500 0.500 0.000
Er: 0.000 0.000 0.799
Er: 0.000 0.000 0.201

## Properties
The calculation puts the formation enthalpy at 0 K at -0.10 eV/atom. The density is 9400 kg/m3. As for the energy above the most stable polymorph in this dataset: 0.0 meV per atom. The space group is P4/mmm (123). The volume comes out at 101.2 Å³/cell.

---

Computed, not measured: an optimized crystal structure of LaSiS2 at the PBE level of DFT.

abc: 5.212 5.212 8.625
angles: 72.41 72.41 90.00
Atoms (fractional coordinates):
S: 0.582 0.125 0.250
S: 0.168 0.625 0.250
S: 0.375 0.418 0.750
S: 0.875 0.832 0.750
Si: 0.500 0.500 0.000
Si: 0.250 0.750 0.500
La: 0.000 0.000 0.000
La: 0.750 0.250 0.500

## Properties
The density is 3623 kg/m3. The value obtained for the total DFT energy (no corrections) is -42.85 eV/cell. The space group is I-42d (122). The volume comes out at 211.9 Å³/cell.

---

Computed, not measured: an optimized crystal structure of SnSb3S at the PBE level of DFT.

abc: 5.619 5.619 5.619
angles: 90.00 90.00 90.00
Site moments in Bohr magnetons follow the coordinates.
Atoms (fractional coordinates):
Sb: 0.000 0.500 0.000  0.03
Sb: 0.000 0.000 0.500  0.01
Sb: 0.500 0.000 0.000  0.03
S: 0.500 0.500 0.500  0.41
Sn: 0.000 0.000 0.000  -0.02

## Properties
The density is 4831 kg/m3. As for the energy above the most stable polymorph in this dataset: 663.3 meV per atom. The space group is Pm-3m (221). The volume comes out at 177.4 Å³/cell.

---

Computed, not measured: an optimized crystal structure of B3PC at the PBE level of DFT.

abc: 5.325 2.851 5.807
angles: 90.00 91.98 90.00
Atoms (fractional coordinates):
P: 0.120 0.000 0.080
P: 0.120 0.500 0.580
C: 0.567 0.000 0.432
C: 0.567 0.500 0.932
B: 0.762 0.000 0.247
B: 0.762 0.500 0.747
B: 0.977 0.000 0.760
B: 0.977 0.500 0.260
B: 0.492 0.000 0.035
B: 0.492 0.500 0.535

## Properties
The calculation puts the formation enthalpy at 0 K at 0.34 eV/atom. The density is 2843 kg/m3. As for the energy above the most stable polymorph in this dataset: 96.2 meV per atom. The space group is Cm (8). The volume comes out at 88.1 Å³/cell.

---

Computed, not measured: an optimized crystal structure of AgAs2Se at the PBE level of DFT.

abc: 3.770 3.770 6.298
angles: 90.00 90.00 90.00
Atoms (fractional coordinates):
As: 0.000 0.000 0.075
As: 0.500 0.500 0.157
Se: 0.000 0.000 0.690
Ag: 0.500 0.500 0.578

## Properties
The density is 6247 kg/m3. The value obtained for the total DFT energy (no corrections) is -15.41 eV/cell. The space group is P4mm (99). The volume comes out at 89.5 Å³/cell.

---

Computed, not measured: an optimized crystal structure of Pr2HoZnTe5 at the PBE level of DFT.

abc: 4.313 9.915 13.243
angles: 90.00 90.00 102.56
Atoms (fractional coordinates):
Pr: 0.871 0.742 0.806
Pr: 0.114 0.228 0.682
Pr: 0.129 0.258 0.306
Pr: 0.886 0.772 0.182
Ho: 0.801 0.601 0.511
Ho: 0.199 0.399 0.011
Zn: 0.565 0.129 0.956
Zn: 0.435 0.871 0.456
Te: 0.357 0.714 0.998
Te: 0.688 0.376 0.846
Te: 0.500 0.999 0.784
Te: 0.285 0.571 0.672
Te: 0.954 0.907 0.569
Te: 0.643 0.286 0.498
Te: 0.312 0.624 0.346
Te: 0.500 0.001 0.284
Te: 0.715 0.429 0.172
Te: 0.046 0.093 0.069

## Properties
The density is 6910 kg/m3. The value obtained for the total DFT energy (no corrections) is -83.71 eV/cell. The space group is Cmc2_1 (36). The volume comes out at 552.8 Å³/cell.

---

Computed, not measured: an optimized crystal structure of Pm8Ag2Ge at the PBE level of DFT.

abc: 5.268 7.076 9.638
angles: 108.11 105.86 90.00
Atoms (fractional coordinates):
Pm: 0.408 0.542 0.817
Pm: 0.667 0.990 0.335
Pm: 0.800 0.670 0.599
Pm: 0.979 0.219 0.957
Pm: 0.200 0.330 0.401
Pm: 0.333 0.010 0.665
Pm: 0.592 0.458 0.183
Pm: 0.021 0.781 0.043
Ag: 0.825 0.273 0.650
Ag: 0.175 0.727 0.350
Ge: 0.500 0.000 0.000

## Properties
The calculation puts the formation enthalpy at 0 K at -0.20 eV/atom. The density is 7354 kg/m3. The space group is C2/m (12). The volume comes out at 327.0 Å³/cell.

---

Computed, not measured: an optimized crystal structure of CeNpSb2 at the PBE level of DFT.

abc: 4.646 4.265 12.436
angles: 99.87 90.00 90.00
Site moments in Bohr magnetons follow the coordinates.
Atoms (fractional coordinates):
Ce: 0.250 0.441 0.882  0.74
Ce: 0.750 0.559 0.118  0.74
Np: 0.250 0.186 0.372  3.92
Np: 0.750 0.814 0.628  3.92
Sb: 0.750 0.687 0.374  -0.10
Sb: 0.250 0.313 0.626  -0.10
Sb: 0.750 0.943 0.886  -0.05
Sb: 0.250 0.057 0.114  -0.05

## Properties
The density is 8489 kg/m3. As for the energy above the most stable polymorph in this dataset: 65.5 meV per atom. The space group is Cmcm (63). The volume comes out at 242.8 Å³/cell.

---

Computed, not measured: an optimized crystal structure of Hf6Fe3N at the PBE level of DFT.

abc: 5.807 6.642 8.762
angles: 90.00 84.89 90.00
Atoms (fractional coordinates):
Hf: 0.676 0.159 0.941
Hf: 0.640 0.189 0.568
Hf: 0.658 0.456 0.258
Hf: 0.342 0.544 0.742
Hf: 0.360 0.811 0.432
Hf: 0.324 0.841 0.059
Hf: 0.176 0.341 0.441
Hf: 0.140 0.311 0.068
Hf: 0.158 0.044 0.758
Hf: 0.842 0.956 0.242
Hf: 0.860 0.689 0.932
Hf: 0.824 0.659 0.559
Fe: 0.561 0.880 0.758
Fe: 0.500 0.500 0.000
Fe: 0.439 0.120 0.242
Fe: 0.061 0.620 0.258
Fe: 0.000 0.000 0.500
Fe: 0.939 0.380 0.742
N: 0.500 0.500 0.500
N: 0.000 0.000 0.000

## Properties
The density is 12358 kg/m3. The value obtained for the total DFT energy (no corrections) is -194.97 eV/cell. The space group is P2_1/c (14). The volume comes out at 336.6 Å³/cell.

---

Computed, not measured: an optimized crystal structure of SnIr2PbO at the PBE level of DFT.

abc: 5.021 5.982 5.021
angles: 90.00 90.00 90.00
Site moments in Bohr magnetons follow the coordinates.
Atoms (fractional coordinates):
Pb: 0.000 0.000 0.000  -0.02
Ir: 0.000 0.000 0.500  0.58
Ir: 0.500 0.000 0.000  0.73
Sn: 0.000 0.500 0.000  -0.08
O: 0.500 0.500 0.500  1.00

## Properties
The density is 7999 kg/m3. The value obtained for the total DFT energy (no corrections) is -19.80 eV/cell. The space group is P4/mmm (123). The volume comes out at 150.8 Å³/cell.

---

Computed, not measured: an optimized crystal structure of DyHoSc4 at the PBE level of DFT.

abc: 8.424 5.297 9.754
angles: 89.99 105.13 128.99
Atoms (fractional coordinates):
Dy: 0.375 0.625 0.250
Dy: 0.625 0.375 0.750
Ho: 0.125 0.875 0.751
Ho: 0.875 0.125 0.249
Sc: 0.959 0.209 0.917
Sc: 0.458 0.708 0.917
Sc: 0.291 0.540 0.583
Sc: 0.709 0.460 0.417
Sc: 0.208 0.957 0.417
Sc: 0.542 0.292 0.083
Sc: 0.792 0.043 0.583
Sc: 0.041 0.791 0.083

## Properties
The calculation puts the formation enthalpy at 0 K at 0.06 eV/atom. The density is 5286 kg/m3. As for the energy above the most stable polymorph in this dataset: 41.8 meV per atom. The space group is C2/c (15). The volume comes out at 318.7 Å³/cell.

---

Computed, not measured: an optimized crystal structure of LaDyErZn at the PBE level of DFT.

abc: 5.420 5.420 5.420
angles: 60.00 60.00 60.00
Atoms (fractional coordinates):
Zn: 0.000 0.000 0.000
Dy: 0.750 0.750 0.750
La: 0.250 0.250 0.250
Er: 0.500 0.500 0.500

## Properties
The calculation puts the formation enthalpy at 0 K at 0.03 eV/atom. The density is 7877 kg/m3. As for the energy above the most stable polymorph in this dataset: 181.8 meV per atom. The space group is F-43m (216). The volume comes out at 112.6 Å³/cell.

---

Computed, not measured: an optimized crystal structure of ZnSiP2 at the PBE level of DFT.

abc: 4.435 4.435 4.435
angles: 60.00 60.00 60.00
Atoms (fractional coordinates):
P: 0.000 0.000 0.000
P: 0.250 0.250 0.250
Si: 0.500 0.500 0.500
Zn: 0.750 0.750 0.750

## Properties
The density is 4186 kg/m3. As for the energy above the most stable polymorph in this dataset: 907.5 meV per atom. The space group is F-43m (216). The volume comes out at 61.7 Å³/cell.